## CdPtBr2 (PBE-GGA)

Data for CdPtBr2 after structural relaxation.

Calculated values
ΔE_f (raw)	-64.3	meV per atom
energy above the lowest structure with this stoichiometry	0.56	eV/f.u.
electronic total energy	-2.640	eV per atom
symmetry	P4mm

Lattice parameters (Å, degrees): 3.759 3.759 7.372 90.00 90.00 90.00
Element x y z (fractional)
Br: 0.000 0.000 0.929
Br: 0.500 0.500 0.338
Pt: 0.500 0.500 0.676
Cd: 0.000 0.000 0.558

***

## CdPt2Br (PBE-GGA)

Data for CdPt2Br after structural relaxation.

Calculated values
ΔE_f (raw)	366.4	meV per atom
energy above the lowest structure with this stoichiometry	1.35	eV/f.u.
electronic total energy	-3.301	eV per atom
density of states at the Fermi level	0.74	states/eV/atom
symmetry	Cmmm

Lattice parameters (Å, degrees): 5.079 5.079 3.001 90.00 90.00 108.34
Element x y z (fractional)
Br: 0.500 0.000 0.500
Pt: 0.000 0.000 0.000
Pt: 0.500 0.500 0.000
Cd: 0.000 0.500 0.500

***

## Cd3PtBr (PBE-GGA)

Data for Cd3PtBr after structural relaxation.

Calculated values
ΔE_f (raw)	-178.3	meV per atom
energy above the lowest structure with this stoichiometry	0.00	eV/f.u.
electronic total energy	-2.270	eV per atom
density of states at the Fermi level	0.36	states/eV/atom
symmetry	Pm-3m

Lattice parameters (Å, degrees): 5.270 5.270 5.270 90.00 90.00 90.00
Element x y z (fractional)
Br: 0.500 0.500 0.500
Pt: 0.000 0.000 0.000
Cd: 0.000 0.500 0.000
Cd: 0.000 0.000 0.500
Cd: 0.500 0.000 0.000